# 1
Entry from the Alexandria database: a relaxed structure of Ba2Zn3Ge4Pt (PBE).

Output
As for the density of states at the Fermi level: 3.2 states/eV per cell. Its theoretical density is 7.2 g/cm3. As for the formation energy from the elements: -4.443 eV per formula unit. As for the total moment: 0.000 μB per atom.

abc: 4.524 4.524 10.777
angles: 90.00 90.00 90.00
Fractional coordinates of all 10 atoms:
Ba (0.000, 0.500, 0.248)
Ba (0.500, 0.000, 0.752)
Zn (0.000, 0.000, 0.000)
Zn (0.000, 0.500, 0.631)
Zn (0.500, 0.000, 0.369)
Ge (0.000, 0.000, 0.500)
Ge (0.000, 0.500, 0.880)
Ge (0.500, 0.000, 0.120)
Ge (0.500, 0.500, 0.500)
Pt (0.500, 0.500, 0.000)

# 2
Entry from the Alexandria database: a relaxed structure of BaZnGePt6 (PBE).

Output
As for the density of states at the Fermi level: 7.7 states/eV per cell. Its theoretical density is 12.9 g/cm3. As for the formation energy from the elements: -1.473 eV per formula unit. As for the total moment: 0.000 μB per atom.

abc: 8.140 8.140 8.140
angles: 129.90 105.32 95.41
Fractional coordinates of all 18 atoms:
Ba (0.434, 0.184, 0.250)
Ba (0.566, 0.816, 0.750)
Zn (0.000, 0.000, 0.500)
Zn (0.000, 0.500, 0.000)
Ge (0.000, 0.500, 0.500)
Ge (0.500, 0.500, 0.000)
Pt (0.100, 0.338, 0.185)
Pt (0.100, 0.915, 0.763)
Pt (0.157, 0.907, 0.250)
Pt (0.287, 0.537, 0.750)
Pt (0.348, 0.085, 0.685)
Pt (0.348, 0.662, 0.263)
Pt (0.652, 0.338, 0.737)
Pt (0.652, 0.915, 0.315)
Pt (0.713, 0.463, 0.250)
Pt (0.843, 0.093, 0.750)
Pt (0.900, 0.085, 0.237)
Pt (0.900, 0.662, 0.815)

# 3
Entry from the Alexandria database: a relaxed structure of Ba2ZnGePt6 (PBE).

Output
As for the density of states at the Fermi level: 4.2 states/eV per cell. Its theoretical density is 11.7 g/cm3. As for the formation energy from the elements: -6.202 eV per formula unit. As for the total moment: 0.000 μB per atom.

abc: 6.866 6.866 8.444
angles: 126.65 126.65 48.59
Fractional coordinates of all 10 atoms:
Ba (0.239, 0.239, 0.185)
Ba (0.761, 0.761, 0.815)
Zn (0.500, 0.500, 0.000)
Ge (0.000, 0.000, 0.500)
Pt (0.233, 0.715, 0.712)
Pt (0.252, 0.252, 0.612)
Pt (0.285, 0.767, 0.288)
Pt (0.715, 0.233, 0.712)
Pt (0.748, 0.748, 0.388)
Pt (0.767, 0.285, 0.288)

# 4
Entry from the Alexandria database: a relaxed structure of Ba2ZnGe4Pt3 (PBE).

Output
As for the density of states at the Fermi level: 4.2 states/eV per cell. Its theoretical density is 9.4 g/cm3. As for the formation energy from the elements: -6.736 eV per formula unit. As for the total moment: 0.000 μB per atom.

abc: 4.547 4.547 10.407
angles: 90.00 90.00 90.00
Fractional coordinates of all 10 atoms:
Ba (0.000, 0.500, 0.250)
Ba (0.500, 0.000, 0.750)
Zn (0.000, 0.000, 0.500)
Ge (0.000, 0.000, 0.000)
Ge (0.000, 0.500, 0.630)
Ge (0.500, 0.000, 0.370)
Ge (0.500, 0.500, 0.000)
Pt (0.000, 0.500, 0.882)
Pt (0.500, 0.000, 0.118)
Pt (0.500, 0.500, 0.500)

# 5
Entry from the Alexandria database: a relaxed structure of BaZr2GePt (PBE).

Output
As for the density of states at the Fermi level: 8.2 states/eV per cell. Its theoretical density is 6.2 g/cm3. As for the formation energy from the elements: 2.384 eV per formula unit. As for the total moment: 0.214 μB per atom.

abc: 5.111 5.111 6.066
angles: 90.00 90.00 90.00
Fractional coordinates of all 5 atoms:
Ba (0.000, 0.000, 0.000)
Zr (0.000, 0.500, 0.500)
Zr (0.500, 0.000, 0.500)
Ge (0.000, 0.000, 0.500)
Pt (0.500, 0.500, 0.000)

# 6
Entry from the Alexandria database: a relaxed structure of BaPuGe2 (PBE).

Output
As for the density of states at the Fermi level: 7.9 states/eV per cell. Its theoretical density is 8.4 g/cm3. As for the formation energy from the elements: -0.825 eV per formula unit. As for the total moment: 0.000 μB per atom.

abc: 4.008 4.008 15.026
angles: 90.00 90.00 120.00
Fractional coordinates of all 8 atoms:
Ba (0.000, 0.000, 0.190)
Ba (0.000, 0.000, 0.810)
Pu (0.333, 0.667, 0.530)
Pu (0.667, 0.333, 0.470)
Ge (0.333, 0.667, 0.347)
Ge (0.333, 0.667, 0.967)
Ge (0.667, 0.333, 0.033)
Ge (0.667, 0.333, 0.653)

# 7
Entry from the Alexandria database: a relaxed structure of BaPu2Ge3 (PBE).

Output
As for the density of states at the Fermi level: 21.0 states/eV per cell. Its theoretical density is 9.1 g/cm3. As for the formation energy from the elements: -0.720 eV per formula unit. As for the total moment: 0.701 μB per atom.

abc: 8.129 8.129 4.746
angles: 90.00 90.00 79.73
Fractional coordinates of all 12 atoms:
Ba (0.201, 0.799, 0.750)
Ba (0.799, 0.201, 0.250)
Pu (0.291, 0.291, 0.000)
Pu (0.291, 0.291, 0.500)
Pu (0.709, 0.709, 0.000)
Pu (0.709, 0.709, 0.500)
Ge (0.031, 0.559, 0.250)
Ge (0.441, 0.969, 0.250)
Ge (0.452, 0.548, 0.250)
Ge (0.548, 0.452, 0.750)
Ge (0.559, 0.031, 0.750)
Ge (0.969, 0.441, 0.750)

# 8
Entry from the Alexandria database: a relaxed structure of BaPu2Ge (PBE).

Output
As for the density of states at the Fermi level: 14.4 states/eV per cell. Its theoretical density is 8.0 g/cm3. As for the formation energy from the elements: 0.316 eV per formula unit. As for the total moment: 3.185 μB per atom.

abc: 7.234 7.234 7.234
angles: 40.59 40.59 40.59
Fractional coordinates of all 4 atoms:
Ba (0.000, 0.000, 0.000)
Pu (0.193, 0.193, 0.193)
Pu (0.807, 0.807, 0.807)
Ge (0.500, 0.500, 0.500)

# 9
Entry from the Alexandria database: a relaxed structure of BaPuGe4 (PBE).

Output
As for the density of states at the Fermi level: 14.9 states/eV per cell. Its theoretical density is 7.9 g/cm3. As for the formation energy from the elements: -1.428 eV per formula unit. As for the total moment: 1.001 μB per atom.

abc: 5.842 5.842 5.842
angles: 60.00 60.00 60.00
Fractional coordinates of all 6 atoms:
Ba (0.000, 0.000, 0.000)
Pu (0.750, 0.750, 0.750)
Ge (0.381, 0.381, 0.381)
Ge (0.381, 0.381, 0.856)
Ge (0.381, 0.856, 0.381)
Ge (0.856, 0.381, 0.381)

# 10
Entry from the Alexandria database: a relaxed structure of BaPuGe2 (PBE).

Output
As for the density of states at the Fermi level: 11.6 states/eV per cell. Its theoretical density is 7.1 g/cm3. As for the formation energy from the elements: -1.021 eV per formula unit. As for the total moment: 1.439 μB per atom.

abc: 6.781 6.781 6.781
angles: 41.46 41.46 41.46
Fractional coordinates of all 4 atoms:
Ba (0.000, 0.000, 0.000)
Pu (0.500, 0.500, 0.500)
Ge (0.216, 0.216, 0.216)
Ge (0.784, 0.784, 0.784)

# 11
Entry from the Alexandria database: a relaxed structure of BaPuGe2 (PBE).

Output
As for the density of states at the Fermi level: 8.3 states/eV per cell. Its theoretical density is 8.3 g/cm3. As for the formation energy from the elements: -1.294 eV per formula unit. As for the total moment: 1.345 μB per atom.

abc: 3.468 3.468 8.805
angles: 90.00 90.00 90.00
Fractional coordinates of all 4 atoms:
Ba (0.000, 0.000, 0.000)
Pu (0.000, 0.000, 0.500)
Ge (0.500, 0.500, 0.277)
Ge (0.500, 0.500, 0.723)

# 12
Entry from the Alexandria database: a relaxed structure of Ba2PuGeTe5 (PBE).

Output
As for the density of states at the Fermi level: 28.0 states/eV per cell. Its theoretical density is 6.1 g/cm3. As for the total moment: 0.571 μB per atom. The raw formation energy is -1.09 eV/atom.

abc: 10.510 10.510 13.740
angles: 90.00 90.00 153.69
Fractional coordinates of all 18 atoms:
Ba (0.120, 0.880, 0.500)
Ba (0.121, 0.879, 0.135)
Ba (0.879, 0.121, 0.635)
Ba (0.880, 0.120, 0.000)
Pu (0.206, 0.794, 0.836)
Pu (0.794, 0.206, 0.336)
Ge (0.439, 0.561, 0.257)
Ge (0.561, 0.439, 0.757)
Te (0.048, 0.952, 0.853)
Te (0.296, 0.704, 0.483)
Te (0.315, 0.685, 0.182)
Te (0.356, 0.644, 0.819)
Te (0.498, 0.502, 0.084)
Te (0.502, 0.498, 0.584)
Te (0.644, 0.356, 0.319)
Te (0.685, 0.315, 0.682)
Te (0.704, 0.296, 0.983)
Te (0.952, 0.048, 0.353)

# 13
Entry from the Alexandria database: a relaxed structure of RbBa4Ge4 (PBE).

Output
As for the density of states at the Fermi level: 11.6 states/eV per cell. Its theoretical density is 4.1 g/cm3. As for the formation energy from the elements: -2.981 eV per formula unit. As for the total moment: 0.000 μB per atom.

abc: 10.654 10.654 6.637
angles: 90.00 90.00 90.00
Fractional coordinates of all 18 atoms:
Rb (0.250, 0.250, 0.250)
Rb (0.750, 0.750, 0.750)
Ba (0.076, 0.656, 0.110)
Ba (0.156, 0.924, 0.610)
Ba (0.344, 0.576, 0.610)
Ba (0.424, 0.844, 0.110)
Ba (0.576, 0.156, 0.890)
Ba (0.656, 0.424, 0.390)
Ba (0.844, 0.076, 0.390)
Ba (0.924, 0.344, 0.890)
Ge (0.027, 0.588, 0.612)
Ge (0.088, 0.973, 0.112)
Ge (0.412, 0.527, 0.112)
Ge (0.473, 0.912, 0.612)
Ge (0.527, 0.088, 0.388)
Ge (0.588, 0.473, 0.888)
Ge (0.912, 0.027, 0.888)
Ge (0.973, 0.412, 0.388)

# 14
Entry from the Alexandria database: a relaxed structure of RbBa3Ge (PBE).

Output
As for the density of states at the Fermi level: 6.3 states/eV per cell. For the distance to the lowest polymorph of the same formula, the calculation gives 0.000 eV/atom. Its theoretical density is 3.2 g/cm3. As for the formation energy from the elements: -0.817 eV per formula unit. As for the total moment: 0.000 μB per atom.

abc: 6.698 6.698 6.698
angles: 90.00 90.00 90.00
Fractional coordinates of all 5 atoms:
Rb (0.000, 0.000, 0.000)
Ba (0.000, 0.500, 0.500)
Ba (0.500, 0.000, 0.500)
Ba (0.500, 0.500, 0.000)
Ge (0.500, 0.500, 0.500)

# 15
Entry from the Alexandria database: a relaxed structure of RbBa3Ge (PBE).

Output
As for the density of states at the Fermi level: 6.2 states/eV per cell. For the distance to the lowest polymorph of the same formula, the calculation gives 1.080 eV/atom. Its theoretical density is 3.6 g/cm3. As for the formation energy from the elements: 4.585 eV per formula unit. As for the total moment: 0.388 μB per atom.

abc: 6.425 6.425 6.425
angles: 90.00 90.00 90.00
Fractional coordinates of all 5 atoms:
Rb (0.000, 0.000, 0.000)
Ba (0.000, 0.000, 0.500)
Ba (0.000, 0.500, 0.000)
Ba (0.500, 0.000, 0.000)
Ge (0.500, 0.500, 0.500)

# 16
Entry from the Alexandria database: a relaxed structure of Rb2BaGe (PBE).

Output
As for the density of states at the Fermi level: 0.2 states/eV per cell. For the distance to the lowest polymorph of the same formula, the calculation gives 0.021 eV/atom. Its theoretical density is 3.8 g/cm3. As for the formation energy from the elements: 0.864 eV per formula unit. As for the total moment: 0.000 μB per atom.

abc: 6.183 6.183 6.183
angles: 60.00 60.00 60.00
Fractional coordinates of all 4 atoms:
Rb (0.250, 0.250, 0.250)
Rb (0.750, 0.750, 0.750)
Ba (0.000, 0.000, 0.000)
Ge (0.500, 0.500, 0.500)

# 17
Entry from the Alexandria database: a relaxed structure of Rb2BaGe (PBE).

Output
As for the density of states at the Fermi level: 7.9 states/eV per cell. For the distance to the lowest polymorph of the same formula, the calculation gives 0.000 eV/atom. Its theoretical density is 3.4 g/cm3. As for the formation energy from the elements: 0.780 eV per formula unit. As for the total moment: 0.000 μB per atom.

abc: 14.337 14.337 14.337
angles: 159.06 159.06 29.78
Fractional coordinates of all 8 atoms:
Rb (0.099, 0.625, 0.974)
Rb (0.375, 0.349, 0.474)
Rb (0.651, 0.125, 0.026)
Rb (0.875, 0.901, 0.526)
Ba (0.250, 0.750, 0.500)
Ba (0.500, 0.500, 0.000)
Ge (0.000, 0.000, 0.000)
Ge (0.750, 0.250, 0.500)

# 18
Entry from the Alexandria database: a relaxed structure of RbBaGe2 (PBE).

Output
As for the density of states at the Fermi level: 13.7 states/eV per cell. For the distance to the lowest polymorph of the same formula, the calculation gives 0.238 eV/atom. Its theoretical density is 4.3 g/cm3. As for the formation energy from the elements: 1.239 eV per formula unit. As for the total moment: 0.000 μB per atom.

abc: 7.376 7.376 7.376
angles: 100.97 100.97 128.27
Fractional coordinates of all 8 atoms:
Rb (0.000, 0.000, 0.000)
Rb (0.750, 0.250, 0.500)
Ba (0.250, 0.750, 0.500)
Ba (0.500, 0.500, 0.000)
Ge (0.135, 0.625, 0.010)
Ge (0.375, 0.385, 0.510)
Ge (0.615, 0.125, 0.990)
Ge (0.875, 0.865, 0.490)

# 19
Entry from the Alexandria database: a relaxed structure of Rb3BaGe (PBE).

Output
As for the density of states at the Fermi level: 3.2 states/eV per cell. Its theoretical density is 2.2 g/cm3. As for the formation energy from the elements: 1.486 eV per formula unit. As for the total moment: 0.200 μB per atom.

abc: 7.022 7.022 7.022
angles: 90.00 90.00 90.00
Fractional coordinates of all 5 atoms:
Rb (0.000, 0.000, 0.500)
Rb (0.000, 0.500, 0.000)
Rb (0.500, 0.000, 0.000)
Ba (0.500, 0.500, 0.500)
Ge (0.000, 0.000, 0.000)

# 20
Entry from the Alexandria database: a relaxed structure of RbBaGe2 (PBE).

Output
As for the density of states at the Fermi level: 3.5 states/eV per cell. For the distance to the lowest polymorph of the same formula, the calculation gives 0.000 eV/atom. Its theoretical density is 4.5 g/cm3. As for the formation energy from the elements: 0.288 eV per formula unit. As for the total moment: 0.000 μB per atom.

abc: 5.768 5.768 5.768
angles: 60.00 60.00 60.00
Fractional coordinates of all 4 atoms:
Rb (0.000, 0.000, 0.000)
Ba (0.500, 0.500, 0.500)
Ge (0.250, 0.250, 0.250)
Ge (0.750, 0.750, 0.750)